# 1
# meta-GGA SCAN RbScF3, single point on PBEsol structure
# Energy relative to the elements, uncorrected ... -1678 meV/atom
# Magnetization ... 1.00 μB/cell
# E_tot ... -54.0 eV/f.u.
data_RbScF3
_chemical_formula_sum 'Rb1 Sc1 F3'
_space_group_name_H-M_alt 'P 1'
_space_group_IT_number 1
_cell_length_a 4.799
_cell_length_b 4.799
_cell_length_c 4.799
_cell_angle_alpha 90.00
_cell_angle_beta 90.00
_cell_angle_gamma 90.00
loop_
_space_group_symop_operation_xyz
'x,y,z'
loop_
_atom_site_label
_atom_site_type_symbol
_atom_site_fract_x
_atom_site_fract_y
_atom_site_fract_z
Rb1 Rb 0.000 0.000 0.000
F1 F 0.000 0.500 0.000
F2 F 0.000 0.000 0.500
F3 F 0.500 0.000 0.000
Sc1 Sc 0.500 0.500 0.500

---

# 2
# meta-GGA SCAN SiRhN2, single point on PBEsol structure
# Energy relative to the elements, uncorrected ... 256 meV/atom
# Magnetization ... 0.00 μB/cell
# E_tot ... -61.3 eV/f.u.
data_SiRhN2
_chemical_formula_sum 'Si1 Rh1 N2'
_space_group_name_H-M_alt 'P 1'
_space_group_IT_number 1
_cell_length_a 2.964
_cell_length_b 2.964
_cell_length_c 5.959
_cell_angle_alpha 75.60
_cell_angle_beta 75.60
_cell_angle_gamma 60.00
loop_
_space_group_symop_operation_xyz
'x,y,z'
loop_
_atom_site_label
_atom_site_type_symbol
_atom_site_fract_x
_atom_site_fract_y
_atom_site_fract_z
Rh1 Rh 0.500 0.500 0.500
Si1 Si 0.000 0.000 0.000
N1 N 0.102 0.102 0.694
N2 N 0.898 0.898 0.306

---

# 3
# meta-GGA SCAN SbMo2P, single point on PBEsol structure
# Energy relative to the elements, uncorrected ... 551 meV/atom
# Polymorph energy (0 for the lowest one) ... 0.563 eV per atom
# Magnetization ... 0.00 μB/cell
# E_tot ... -115.2 eV/f.u.
data_SbMo2P
_chemical_formula_sum 'Sb1 Mo2 P1'
_space_group_name_H-M_alt 'P 1'
_space_group_IT_number 1
_cell_length_a 4.506
_cell_length_b 4.506
_cell_length_c 4.506
_cell_angle_alpha 60.00
_cell_angle_beta 60.00
_cell_angle_gamma 60.00
loop_
_space_group_symop_operation_xyz
'x,y,z'
loop_
_atom_site_label
_atom_site_type_symbol
_atom_site_fract_x
_atom_site_fract_y
_atom_site_fract_z
P1 P 0.500 0.500 0.500
Sb1 Sb 0.250 0.250 0.250
Mo1 Mo 0.750 0.750 0.750
Mo2 Mo 0.000 0.000 0.000

---

# 4
# meta-GGA SCAN ZnSb2Os, single point on PBEsol structure
# Energy relative to the elements, uncorrected ... 620 meV/atom
# Magnetization ... 0.00 μB/cell
# E_tot ... -157.4 eV/f.u.
data_ZnSb2Os
_chemical_formula_sum 'Zn1 Sb2 Os1'
_space_group_name_H-M_alt 'P 1'
_space_group_IT_number 1
_cell_length_a 3.318
_cell_length_b 4.807
_cell_length_c 4.807
_cell_angle_alpha 105.24
_cell_angle_beta 90.03
_cell_angle_gamma 90.03
loop_
_space_group_symop_operation_xyz
'x,y,z'
loop_
_atom_site_label
_atom_site_type_symbol
_atom_site_fract_x
_atom_site_fract_y
_atom_site_fract_z
Zn1 Zn 0.500 0.000 0.000
Sb1 Sb 0.000 0.500 0.000
Sb2 Sb 0.000 0.000 0.500
Os1 Os 0.500 0.500 0.500

---

# 5
# meta-GGA SCAN CoW2Cl, single point on PBEsol structure
# Energy relative to the elements, uncorrected ... 1343 meV/atom
# Polymorph energy (0 for the lowest one) ... 0.755 eV per atom
# Magnetization ... 1.94 μB/cell
# E_tot ... -159.3 eV/f.u.
data_CoW2Cl
_chemical_formula_sum 'Co1 W2 Cl1'
_space_group_name_H-M_alt 'P 1'
_space_group_IT_number 1
_cell_length_a 3.679
_cell_length_b 3.679
_cell_length_c 4.906
_cell_angle_alpha 112.03
_cell_angle_beta 112.03
_cell_angle_gamma 90.00
loop_
_space_group_symop_operation_xyz
'x,y,z'
loop_
_atom_site_label
_atom_site_type_symbol
_atom_site_fract_x
_atom_site_fract_y
_atom_site_fract_z
W1 W 0.750 0.250 0.500
W2 W 0.000 0.000 0.000
Co1 Co 0.250 0.750 0.500
Cl1 Cl 0.500 0.500 0.000

---

# 6
# meta-GGA SCAN Si2SbMo, single point on PBEsol structure
# Energy relative to the elements, uncorrected ... 712 meV/atom
# Magnetization ... 0.00 μB/cell
# E_tot ... -89.3 eV/f.u.
data_Si2SbMo
_chemical_formula_sum 'Si2 Sb1 Mo1'
_space_group_name_H-M_alt 'P 1'
_space_group_IT_number 1
_cell_length_a 3.311
_cell_length_b 4.467
_cell_length_c 4.477
_cell_angle_alpha 90.00
_cell_angle_beta 90.00
_cell_angle_gamma 90.00
loop_
_space_group_symop_operation_xyz
'x,y,z'
loop_
_atom_site_label
_atom_site_type_symbol
_atom_site_fract_x
_atom_site_fract_y
_atom_site_fract_z
Mo1 Mo 0.500 0.500 0.000
Si1 Si 0.500 0.000 0.500
Si2 Si 0.000 0.000 0.000
Sb1 Sb 0.000 0.500 0.500

---

# 7
# meta-GGA SCAN BeTlCr2, single point on PBEsol structure
# Formation energy from the elements ... 0.63 eV/atom
# Polymorph energy (0 for the lowest one) ... 0.278 eV per atom
# Magnetization ... 1.71 μB/cell
# E_tot ... -111.0 eV/f.u.
data_BeTlCr2
_chemical_formula_sum 'Be1 Tl1 Cr2'
_space_group_name_H-M_alt 'P 1'
_space_group_IT_number 1
_cell_length_a 3.575
_cell_length_b 3.575
_cell_length_c 4.830
_cell_angle_alpha 111.72
_cell_angle_beta 111.72
_cell_angle_gamma 90.00
loop_
_space_group_symop_operation_xyz
'x,y,z'
loop_
_atom_site_label
_atom_site_type_symbol
_atom_site_fract_x
_atom_site_fract_y
_atom_site_fract_z
Cr1 Cr 0.750 0.250 0.500
Cr2 Cr 0.250 0.750 0.500
Be1 Be 0.000 0.000 0.000
Tl1 Tl 0.500 0.500 0.000

---

# 8
# meta-GGA SCAN Na2AlFeSi4O12, single point on PBEsol structure
# Energy relative to the elements, uncorrected ... -2784 meV/atom
# Magnetization ... 1.00 μB/cell
# E_tot ... -204.8 eV/f.u.
data_Na2AlFeSi4O12
_chemical_formula_sum 'Na2 Al1 Fe1 Si4 O12'
_space_group_name_H-M_alt 'P 1'
_space_group_IT_number 1
_cell_length_a 5.240
_cell_length_b 6.385
_cell_length_c 6.385
_cell_angle_alpha 84.31
_cell_angle_beta 76.96
_cell_angle_gamma 76.96
loop_
_space_group_symop_operation_xyz
'x,y,z'
loop_
_atom_site_label
_atom_site_type_symbol
_atom_site_fract_x
_atom_site_fract_y
_atom_site_fract_z
O1 O 0.948 0.096 0.627
O2 O 0.458 0.627 0.095
O3 O 0.753 0.638 0.653
O4 O 0.878 0.812 0.969
O5 O 0.247 0.347 0.362
O6 O 0.253 0.655 0.636
O7 O 0.542 0.905 0.373
O8 O 0.381 0.969 0.815
O9 O 0.747 0.364 0.345
O10 O 0.619 0.185 0.031
O11 O 0.122 0.031 0.188
O12 O 0.052 0.373 0.904
Si1 Si 0.976 0.614 0.802
Si2 Si 0.526 0.385 0.195
Si3 Si 0.024 0.198 0.386
Si4 Si 0.474 0.805 0.615
Na1 Na 0.000 0.700 0.300
Na2 Na 0.500 0.300 0.700
Fe1 Fe 0.000 0.088 0.912
Al1 Al 0.500 0.908 0.092

---

# 9
# meta-GGA SCAN Cs2MgO2, single point on PBEsol structure
# Energy relative to the elements, uncorrected ... -1815 meV/atom
# Magnetization ... 0.47 μB/cell
# E_tot ... -102.1 eV/f.u.
data_Cs2MgO2
_chemical_formula_sum 'Cs16 Mg8 O16'
_space_group_name_H-M_alt 'P 1'
_space_group_IT_number 1
_cell_length_a 6.645
_cell_length_b 9.936
_cell_length_c 14.533
_cell_angle_alpha 98.46
_cell_angle_beta 90.00
_cell_angle_gamma 90.00
loop_
_space_group_symop_operation_xyz
'x,y,z'
loop_
_atom_site_label
_atom_site_type_symbol
_atom_site_fract_x
_atom_site_fract_y
_atom_site_fract_z
Mg1 Mg 0.370 0.377 0.624
Mg2 Mg 0.552 0.875 0.460
Mg3 Mg 0.448 0.125 0.540
Mg4 Mg 0.948 0.375 0.960
Mg5 Mg 0.130 0.877 0.124
Mg6 Mg 0.052 0.625 0.040
Mg7 Mg 0.630 0.623 0.376
Mg8 Mg 0.870 0.123 0.876
Cs1 Cs 0.128 0.759 0.833
Cs2 Cs 0.411 0.079 0.763
Cs3 Cs 0.662 0.820 0.970
Cs4 Cs 0.426 0.454 0.876
Cs5 Cs 0.574 0.546 0.124
Cs6 Cs 0.089 0.579 0.263
Cs7 Cs 0.838 0.320 0.470
Cs8 Cs 0.872 0.241 0.167
Cs9 Cs 0.338 0.180 0.030
Cs10 Cs 0.074 0.954 0.376
Cs11 Cs 0.589 0.921 0.237
Cs12 Cs 0.926 0.046 0.624
Cs13 Cs 0.162 0.680 0.530
Cs14 Cs 0.372 0.259 0.333
Cs15 Cs 0.628 0.741 0.667
Cs16 Cs 0.911 0.421 0.737
O1 O 0.384 0.940 0.572
O2 O 0.309 0.549 0.693
O3 O 0.116 0.440 0.072
O4 O 0.809 0.951 0.807
O5 O 0.910 0.754 0.140
O6 O 0.590 0.254 0.640
O7 O 0.728 0.242 0.973
O8 O 0.410 0.746 0.360
O9 O 0.616 0.060 0.428
O10 O 0.691 0.451 0.307
O11 O 0.772 0.742 0.473
O12 O 0.884 0.560 0.928
O13 O 0.272 0.758 0.027
O14 O 0.191 0.049 0.193
O15 O 0.090 0.246 0.860
O16 O 0.228 0.258 0.527

---

# 10
# meta-GGA SCAN Si2As, single point on PBEsol structure
# Energy relative to the elements, uncorrected ... 641 meV/atom
# Magnetization ... 0.00 μB/cell
# E_tot ... -38.3 eV/f.u.
data_Si2As
_chemical_formula_sum 'Si2 As1'
_space_group_name_H-M_alt 'P 1'
_space_group_IT_number 1
_cell_length_a 3.157
_cell_length_b 3.157
_cell_length_c 5.247
_cell_angle_alpha 107.51
_cell_angle_beta 107.51
_cell_angle_gamma 90.00
loop_
_space_group_symop_operation_xyz
'x,y,z'
loop_
_atom_site_label
_atom_site_type_symbol
_atom_site_fract_x
_atom_site_fract_y
_atom_site_fract_z
Si1 Si 0.678 0.678 0.357
Si2 Si 0.322 0.322 0.643
As1 As 0.000 0.000 0.000

---

# 11
# meta-GGA SCAN Ba2LaAs, single point on PBEsol structure
# Formation energy from the elements ... -0.18 eV/atom
# Magnetization ... 3.21 μB/cell
# E_tot ... -143.1 eV/f.u.
data_Ba2LaAs
_chemical_formula_sum 'Ba2 La1 As1'
_space_group_name_H-M_alt 'P 1'
_space_group_IT_number 1
_cell_length_a 5.619
_cell_length_b 5.619
_cell_length_c 5.619
_cell_angle_alpha 60.00
_cell_angle_beta 60.00
_cell_angle_gamma 60.00
loop_
_space_group_symop_operation_xyz
'x,y,z'
loop_
_atom_site_label
_atom_site_type_symbol
_atom_site_fract_x
_atom_site_fract_y
_atom_site_fract_z
Ba1 Ba 0.000 0.000 0.000
Ba2 Ba 0.750 0.750 0.750
La1 La 0.250 0.250 0.250
As1 As 0.500 0.500 0.500

---

# 12
# meta-GGA SCAN AlSbOs2, single point on PBEsol structure
# Energy relative to the elements, uncorrected ... 452 meV/atom
# Polymorph energy (0 for the lowest one) ... 0.255 eV per atom
# Magnetization ... 0.00 μB/cell
# E_tot ... -187.0 eV/f.u.
data_AlSbOs2
_chemical_formula_sum 'Al1 Sb1 Os2'
_space_group_name_H-M_alt 'P 1'
_space_group_IT_number 1
_cell_length_a 2.981
_cell_length_b 4.845
_cell_length_c 5.223
_cell_angle_alpha 117.63
_cell_angle_beta 106.58
_cell_angle_gamma 90.00
loop_
_space_group_symop_operation_xyz
'x,y,z'
loop_
_atom_site_label
_atom_site_type_symbol
_atom_site_fract_x
_atom_site_fract_y
_atom_site_fract_z
Al1 Al 0.000 0.500 0.000
Os1 Os 0.273 0.273 0.546
Os2 Os 0.727 0.727 0.454
Sb1 Sb 0.500 0.000 0.000